No. 1
DFT (PBE-GGA) results for an optimized crystal structure of Ca2MnTe.

Geometry as POSCAR:
```
Ca2MnTe
1.0
4.2951 0.0000 0.0000
0.0000 4.2951 0.0000
0.0000 0.0000 6.4343
Mn Te Ca
1 1 2
Cartesian
0.0000 0.0000 2.8811
2.1475 2.1475 5.1141
0.0000 0.0000 6.1356
2.1475 2.1475 1.9550
```

Properties
Spin magnetization (μB per cell): 3.4
N(E_F) (states/eV per cell): 3.167
Uncorrected formation energy (eV per atom): -0.235
Density (g cm⁻³): 3.7

No. 2
DFT (PBE-GGA) results for an optimized crystal structure of Ca2MnTe.

Geometry as POSCAR:
```
Ca2MnTe
1.0
-4.3306 -0.4319 -2.9083
2.9396 -0.5274 -4.2989
0.0474 -3.9835 0.5211
Te Ca Mn
1 2 1
Cartesian
1.4935 -2.2555 -1.8889
-0.6955 -0.4796 -3.6036
0.0000 0.0000 0.0000
-2.1416 -2.2077 -1.1936
```

Properties
Spin magnetization (μB per cell): 3.8
N(E_F) (states/eV per cell): 4.650
Uncorrected formation energy (eV per atom): -0.303
Density (g cm⁻³): 4.0

No. 3
DFT (PBE-GGA) results for an optimized crystal structure of Ca2MnTe.

Geometry as POSCAR:
```
Ca2MnTe
1.0
-4.5017 -2.8288 0.8395
-1.3558 -1.4813 4.9940
-4.2091 2.3018 2.4408
Ca Te Mn
2 1 1
Cartesian
-2.5167 -0.5021 2.0686
0.0000 0.0000 0.0000
-7.5500 -1.5062 6.2057
-5.0333 -1.0042 4.1372
```

Properties
Spin magnetization (μB per cell): 3.9
N(E_F) (states/eV per cell): 3.742
Uncorrected formation energy (eV per atom): 0.070
Density (g cm⁻³): 4.0

No. 4
DFT (PBE-GGA) results for an optimized crystal structure of CaMn3Te.

Geometry as POSCAR:
```
CaMn3Te
1.0
4.9420 0.0000 0.0000
0.0000 4.9420 0.0000
0.0000 0.0000 4.9420
Ca Mn Te
1 3 1
Cartesian
2.4710 2.4710 2.4710
2.4710 0.0000 0.0000
0.0000 2.4710 0.0000
0.0000 0.0000 2.4710
0.0000 0.0000 0.0000
```

Properties
Relative energy among the computed polymorphs (kJ per mole of atoms): 0.00
Spin magnetization (μB per cell): 9.4
N(E_F) (states/eV per cell): 3.451
Uncorrected formation energy (eV per atom): 0.653
Density (g cm⁻³): 4.6

No. 5
DFT (PBE-GGA) results for an optimized crystal structure of CaMnTe.

Geometry as POSCAR:
```
CaMnTe
1.0
4.5328 0.0000 0.0000
-2.2664 3.9255 0.0000
0.0000 0.0000 4.2198
Te Ca Mn
1 1 1
Cartesian
0.0000 2.6170 2.1116
0.0000 0.0000 4.2197
2.2664 1.3085 2.1085
```

Properties
Relative energy among the computed polymorphs (kJ per mole of atoms): 0.00
Spin magnetization (μB per cell): 3.3
N(E_F) (states/eV per cell): 2.021
Uncorrected formation energy (eV per atom): -0.374
Density (g cm⁻³): 4.9

No. 6
DFT (PBE-GGA) results for an optimized crystal structure of Ca2MnTe.

Geometry as POSCAR:
```
Ca2MnTe
1.0
-2.8852 -2.6662 1.7407
1.3062 -3.1984 2.5549
-1.1393 2.7548 7.6648
Ca Mn Te
2 1 1
Cartesian
-1.5834 -5.8354 4.3369
-1.3549 -1.5841 5.9389
-2.0388 -2.3324 8.9703
-0.6796 -0.7775 2.9901
```

Properties
Spin magnetization (μB per cell): 3.7
N(E_F) (states/eV per cell): 3.448
Uncorrected formation energy (eV per atom): -0.244
Density (g cm⁻³): 3.5

No. 7
DFT (PBE-GGA) results for an optimized crystal structure of Ca4MnTe.

Geometry as POSCAR:
```
Ca4MnTe
1.0
5.1699 -3.7045 -2.0289
0.2696 -6.4879 1.5499
-0.8567 -4.6064 -4.7556
Ca Te Mn
4 1 1
Cartesian
1.2940 -7.8510 -4.3343
1.7207 -5.5565 -1.9654
1.8551 -8.7883 -1.1934
4.2960 -7.4018 -2.9761
0.0000 0.0000 0.0000
3.4372 -11.0991 -3.9259
```

Properties
Spin magnetization (μB per cell): 3.6
N(E_F) (states/eV per cell): 5.461
Uncorrected formation energy (eV per atom): 0.337
Density (g cm⁻³): 2.7

No. 8
DFT (PBE-GGA) results for an optimized crystal structure of Ca2MnTe.

Geometry as POSCAR:
```
Ca2MnTe
1.0
4.3822 0.0000 0.0000
0.0000 4.3372 0.0024
0.0000 2.1648 5.9431
Ca Mn Te
2 1 1
Cartesian
0.0000 6.2312 5.5028
2.1911 1.8957 2.0003
0.0000 4.0649 2.7927
2.1911 4.0632 4.5678
```

Properties
Spin magnetization (μB per cell): 3.6
N(E_F) (states/eV per cell): 2.401
Uncorrected formation energy (eV per atom): -0.437
Density (g cm⁻³): 3.9

No. 9
DFT (PBE-GGA) results for an optimized crystal structure of CaMnTe3.

Geometry as POSCAR:
```
CaMnTe3
1.0
5.1644 0.0000 0.0000
0.0000 5.1644 0.0000
0.0000 0.0000 5.1644
Te Mn Ca
3 1 1
Cartesian
0.0000 2.5822 0.0000
2.5822 0.0000 0.0000
0.0000 0.0000 2.5822
0.0000 0.0000 0.0000
2.5822 2.5822 2.5822
```

Properties
Relative energy among the computed polymorphs (kJ per mole of atoms): 0.00
Spin magnetization (μB per cell): 0.0
N(E_F) (states/eV per cell): 10.013
Uncorrected formation energy (eV per atom): -0.094
Density (g cm⁻³): 5.8

No. 10
DFT (PBE-GGA) results for an optimized crystal structure of Ca2MnTe.

Geometry as POSCAR:
```
Ca2MnTe
1.0
-0.3113 -0.1609 -6.5401
5.1700 -1.5192 -3.7228
-3.2428 -2.2066 5.2451
Te Mn Ca
1 1 2
Cartesian
-0.5624 -1.6038 -3.2132
2.4294 -0.8400 -5.1315
0.0000 0.0000 0.0000
2.1783 -2.2829 -1.8046
```

Properties
Spin magnetization (μB per cell): 4.2
N(E_F) (states/eV per cell): 2.566
Uncorrected formation energy (eV per atom): -0.261
Density (g cm⁻³): 3.8

No. 11
DFT (PBE-GGA) results for an optimized crystal structure of CaMnTe.

Geometry as POSCAR:
```
CaMnTe
1.0
-0.8088 1.4589 -4.3722
-0.0067 -3.0737 -3.5287
-4.0165 -1.1074 -2.1308
Ca Mn Te
1 1 1
Cartesian
-2.4160 -1.3611 -5.0158
-1.2080 -0.6805 -2.5079
0.0000 0.0000 0.0000
```

Properties
Relative energy among the computed polymorphs (kJ per mole of atoms): 25.64
Spin magnetization (μB per cell): 3.0
N(E_F) (states/eV per cell): 4.237
Uncorrected formation energy (eV per atom): -0.108
Density (g cm⁻³): 5.1

No. 12
DFT (PBE-GGA) results for an optimized crystal structure of Ca2MnTe.

Geometry as POSCAR:
```
Ca2MnTe
1.0
5.8213 0.0134 -0.0161
1.7749 5.5442 0.0161
-3.7870 -2.7939 3.4265
Ca Te Mn
2 1 1
Cartesian
3.7959 2.7771 0.0000
0.0022 0.0016 0.0000
0.8930 2.7645 1.7213
2.9162 -0.0009 1.7052
```

Properties
Spin magnetization (μB per cell): 4.7
N(E_F) (states/eV per cell): 3.215
Uncorrected formation energy (eV per atom): -0.196
Density (g cm⁻³): 3.9